Record 1
VASP calculation (PBE) on a relaxed structure of TaTi3Ga2C.

Output
D(E_F): 6.2 states/eV per cell
SG: Immm
ΔE_f: -0.36 eV per atom

Lattice parameters (Å, degrees): 7.4811 7.4811 7.4811 148.53 147.82 45.63
Element x y z (fractional)
Ta 0.0000 0.0000 0.0000
Ti 0.3430 0.8430 0.5000
Ti 0.5000 0.5000 0.0000
Ti 0.6570 0.1570 0.5000
Ga 0.1442 0.6442 0.5000
Ga 0.8558 0.3558 0.5000
C 0.5000 0.0000 0.5000



Record 2
VASP calculation (PBE) on a relaxed structure of TaTi2GaC.

Output
D(E_F): 2.0 states/eV per cell
SG: P4/mmm
ΔE_f: -0.46 eV per atom

Lattice parameters (Å, degrees): 4.1255 4.1255 4.3427 90.00 90.00 90.00
Element x y z (fractional)
Ta 0.0000 0.0000 0.0000
Ti 0.0000 0.5000 0.5000
Ti 0.5000 0.0000 0.5000
Ga 0.5000 0.5000 0.0000
C 0.0000 0.0000 0.5000



Record 3
VASP calculation (PBE) on a relaxed structure of YTa2GaC.

Output
D(E_F): 2.7 states/eV per cell
SG: P4/mmm
ΔE_f: 0.12 eV per atom

Lattice parameters (Å, degrees): 4.3333 4.3333 4.7180 90.00 90.00 90.00
Element x y z (fractional)
Y 0.0000 0.0000 0.0000
Ta 0.0000 0.5000 0.5000
Ta 0.5000 0.0000 0.5000
Ga 0.5000 0.5000 0.0000
C 0.5000 0.5000 0.5000



Record 4
VASP calculation (PBE) on a relaxed structure of Tb4Ga2C.

Output
D(E_F): 4.2 states/eV per cell
SG: C2/m
ΔE_f: -0.33 eV per atom

Lattice parameters (Å, degrees): 8.1182 8.1182 6.2195 111.10 111.10 25.80
Element x y z (fractional)
Tb 0.0846 0.0846 0.4102
Tb 0.3903 0.3903 0.0281
Tb 0.6097 0.6097 0.9719
Tb 0.9154 0.9154 0.5898
Ga 0.2609 0.2609 0.3261
Ga 0.7391 0.7391 0.6739
C 0.0000 0.0000 0.0000



Record 5
VASP calculation (PBE) on a relaxed structure of Tb2GaC.

Output
D(E_F): 4.5 states/eV per cell
SG: R-3m
ΔE_f: -0.34 eV per atom

Lattice parameters (Å, degrees): 7.8233 7.8233 7.8233 26.82 26.82 26.82
Element x y z (fractional)
Tb 0.2275 0.2275 0.2275
Tb 0.7725 0.7725 0.7725
Ga 0.0000 0.0000 0.0000
C 0.5000 0.5000 0.5000



Record 6
VASP calculation (PBE) on a relaxed structure of Tb4Ga2C.

Output
D(E_F): 0.4 states/eV per cell
SG: I4/mmm
ΔE_f: -0.41 eV per atom

Lattice parameters (Å, degrees): 7.9196 7.9196 7.9196 143.78 143.78 52.15
Element x y z (fractional)
Tb 0.0000 0.5000 0.5000
Tb 0.1724 0.1724 0.0000
Tb 0.5000 0.0000 0.5000
Tb 0.8276 0.8276 0.0000
Ga 0.3773 0.3773 0.0000
Ga 0.6227 0.6227 0.0000
C 0.0000 0.0000 0.0000



Record 7
VASP calculation (PBE) on a relaxed structure of TbGaC.

Output
D(E_F): 0.7 states/eV per cell
SG: C2/m
ΔE_f: -0.43 eV per atom

Lattice parameters (Å, degrees): 4.2311 4.2311 7.5260 104.67 104.67 55.83
Element x y z (fractional)
Tb 0.0853 0.0853 0.3085
Tb 0.9147 0.9147 0.6915
Ga 0.3322 0.3322 0.9751
Ga 0.6678 0.6678 0.0249
C 0.4093 0.4093 0.4594
C 0.5907 0.5907 0.5406



Record 8
VASP calculation (PBE) on a relaxed structure of Tb4GaC.

Output
D(E_F): 7.6 states/eV per cell
SG: Cmc2_1
ΔE_f: -0.26 eV per atom

Lattice parameters (Å, degrees): 9.2885 9.2885 6.7242 90.00 90.00 148.79
Element x y z (fractional)
Tb 0.0300 0.9700 0.5000
Tb 0.1709 0.8291 0.1192
Tb 0.2020 0.7980 0.6215
Tb 0.4090 0.5910 0.3434
Tb 0.5910 0.4090 0.8434
Tb 0.7980 0.2020 0.1215
Tb 0.8291 0.1709 0.6192
Tb 0.9700 0.0300 0.0000
Ga 0.3721 0.6279 0.8673
Ga 0.6279 0.3721 0.3673
C 0.0908 0.9092 0.8321
C 0.9092 0.0908 0.3321



Record 9
VASP calculation (PBE) on a relaxed structure of TbGaC.

Output
D(E_F): 3.2 states/eV per cell
SG: I4/mmm
ΔE_f: 0.25 eV per atom

Lattice parameters (Å, degrees): 7.6757 7.6757 7.6757 150.28 150.28 42.53
Element x y z (fractional)
Tb 0.1213 0.1213 0.0000
Tb 0.8787 0.8787 0.0000
Ga 0.3155 0.3155 0.0000
Ga 0.6845 0.6845 0.0000
C 0.4525 0.4525 0.0000
C 0.5475 0.5475 0.0000



Record 10
VASP calculation (PBE) on a relaxed structure of Tb4Ga2C.

Output
D(E_F): 5.2 states/eV per cell
SG: C2/m
ΔE_f: -0.45 eV per atom

Lattice parameters (Å, degrees): 6.3764 6.3764 8.5935 122.36 122.36 34.17
Element x y z (fractional)
Tb 0.0850 0.0850 0.3382
Tb 0.3447 0.3447 0.9371
Tb 0.6553 0.6553 0.0629
Tb 0.9150 0.9150 0.6618
Ga 0.3776 0.3776 0.3422
Ga 0.6224 0.6224 0.6578
C 0.0000 0.0000 0.0000



Record 11
VASP calculation (PBE) on a relaxed structure of Tb2Ga2Tc2C.

Output
D(E_F): 2.4 states/eV per cell
SG: C2/m
ΔE_f: -0.51 eV per atom

Lattice parameters (Å, degrees): 5.8703 5.8703 7.3677 122.37 122.37 36.82
Element x y z (fractional)
Tb 0.0709 0.0709 0.2865
Tb 0.9291 0.9291 0.7135
Ga 0.3646 0.3646 0.3383
Ga 0.6354 0.6354 0.6617
Tc 0.3030 0.3030 0.9322
Tc 0.6970 0.6970 0.0678
C 0.5000 0.5000 0.0000



Record 12
VASP calculation (PBE) on a relaxed structure of TbY2GaC.

Output
D(E_F): 2.0 states/eV per cell
SG: P4/mmm
ΔE_f: -0.46 eV per atom

Lattice parameters (Å, degrees): 4.8685 4.8685 4.8982 90.00 90.00 90.00
Element x y z (fractional)
Tb 0.0000 0.0000 0.0000
Y 0.0000 0.5000 0.5000
Y 0.5000 0.0000 0.5000
Ga 0.5000 0.5000 0.0000
C 0.0000 0.0000 0.5000